Record 1
Crystalline ScAsIBr2 at its relaxed geometry. Source: Alexandria, functional PBE.

a = 5.074 Å, b = 5.074 Å, c = 5.920 Å
α = 90.00°, β = 90.00°, γ = 90.00°
Fractional positions:
Sc  0.000  0.000  0.000
As  0.000  0.000  0.500
I  0.500  0.500  0.500
Br  0.000  0.500  0.000
Br  0.500  0.000  0.000

Calculated values
formation energy (no corrections)	-598	meV/atom
energy above the lowest structure with this stoichiometry	0	meV per atom
calculated volume	152.44	Å³ per cell

Record 2
Crystalline AsSeIBr2 at its relaxed geometry. Source: Alexandria, functional PBE.

a = 5.079 Å, b = 5.079 Å, c = 5.925 Å
α = 90.00°, β = 90.00°, γ = 90.00°
Fractional positions:
As  0.000  0.000  0.000
Se  0.000  0.000  0.500
I  0.500  0.500  0.000
Br  0.000  0.500  0.500
Br  0.500  0.000  0.500

Calculated values
formation energy (no corrections)	394	meV/atom
energy above the lowest structure with this stoichiometry	196	meV per atom
calculated volume	152.83	Å³ per cell

Record 3
Crystalline AsSeIBr2 at its relaxed geometry. Source: Alexandria, functional PBE.

a = 5.133 Å, b = 5.133 Å, c = 5.645 Å
α = 90.00°, β = 90.00°, γ = 90.00°
Fractional positions:
As  0.000  0.000  0.000
Se  0.000  0.000  0.500
I  0.500  0.500  0.500
Br  0.000  0.500  0.000
Br  0.500  0.000  0.000

Calculated values
formation energy (no corrections)	199	meV/atom
energy above the lowest structure with this stoichiometry	0	meV per atom
calculated volume	148.76	Å³ per cell

Record 4
Crystalline AsSeIBr2 at its relaxed geometry. Source: Alexandria, functional PBE.

a = 5.726 Å, b = 5.726 Å, c = 5.758 Å
α = 90.00°, β = 90.00°, γ = 90.00°
Fractional positions:
As  0.000  0.000  0.000
Se  0.500  0.500  0.000
I  0.000  0.000  0.500
Br  0.000  0.500  0.500
Br  0.500  0.000  0.500

Calculated values
formation energy (no corrections)	843	meV/atom
energy above the lowest structure with this stoichiometry	644	meV per atom
calculated volume	188.76	Å³ per cell

Record 5
Crystalline AsSeIBr2 at its relaxed geometry. Source: Alexandria, functional PBE.

a = 5.734 Å, b = 5.734 Å, c = 5.525 Å
α = 90.00°, β = 90.00°, γ = 90.00°
Fractional positions:
As  0.000  0.000  0.000
Se  0.500  0.500  0.000
I  0.500  0.500  0.500
Br  0.000  0.500  0.500
Br  0.500  0.000  0.500

Calculated values
formation energy (no corrections)	794	meV/atom
energy above the lowest structure with this stoichiometry	596	meV per atom
calculated volume	181.66	Å³ per cell

Record 6
Crystalline SiAsIBr2 at its relaxed geometry. Source: Alexandria, functional PBE.

a = 5.605 Å, b = 5.605 Å, c = 5.661 Å
α = 90.00°, β = 90.00°, γ = 90.00°
Fractional positions:
Si  0.000  0.000  0.000
As  0.500  0.500  0.000
I  0.500  0.500  0.500
Br  0.000  0.500  0.500
Br  0.500  0.000  0.500

Calculated values
formation energy (no corrections)	1063	meV/atom
energy above the lowest structure with this stoichiometry	838	meV per atom
calculated volume	177.82	Å³ per cell